(1)
CsNa2As2: optimized geometry, GGA-PBE.

Computed properties:
- total moment (μB per cell) = 0.2
- DOS(E_F) (states/eV/atom) = 0.501
- ΔE to the lowest computed polymorph (meV/atom) = 116

Cell lengths 13.7153, 4.5867, 5.7284 Å; angles 90.00, 99.01, 90.00 degrees
With the nearest neighbours (Å) after each atom.
Space group C2/m (No. 12)
One atom of each set of equivalent atoms:
Cs  0.0000  0.0000  0.0000 [2 per cell]  6 As 3.75-3.94
Na  0.1698  0.5000  0.5826 [4 per cell]  4 As 2.98-3.07
As  0.2365  0.5000  0.1041 [4 per cell]  2 As 2.64


(2)
Pa2SnRu: optimized geometry, GGA-PBE.

Computed properties:
- total moment (μB per cell) = 0.0
- DOS(E_F) (states/eV/atom) = 1.676
- ΔE to the lowest computed polymorph (meV/atom) = 141

Cell lengths 3.9264, 3.9264, 23.1197 Å; angles 90.00, 90.00, 120.00 degrees
With the nearest neighbours (Å) after each atom.
Space group R-3m (No. 166, hexagonal axes)
One atom of each set of equivalent atoms:
Pa  0.0000  0.0000  0.2349 [6 per cell]  3 Ru 2.76
Sn  0.0000  0.0000  0.0000 [3 per cell]  6 Pa 3.21
Ru  0.0000  0.0000  0.5000 [3 per cell]  6 Pa 2.76


(3)
Cs2TlPbI6: optimized geometry, GGA-PBE.

Computed properties:
- raw formation energy (eV/atom) = -0.91
- total moment (μB per cell) = 0.0
- DOS(E_F) (states/eV/atom) = 0.535

Cell lengths 8.9774, 8.9774, 12.6570 Å; angles 90.00, 90.00, 90.00 degrees
With the nearest neighbours (Å) after each atom.
Space group I4/mmm (No. 139)
One atom of each set of equivalent atoms:
Cs  0.0000  0.5000  0.2500 [4 per cell]  12 I 4.48-4.49
Tl  0.0000  0.0000  0.0000 [2 per cell]  6 I 3.17-3.19
Pb  0.0000  0.0000  0.5000 [2 per cell]  6 I 3.16
I  0.0000  0.0000  0.2507 [4 per cell]  1 Pb 3.16, 1 Tl 3.17
I  0.2490  0.2490  0.5000 [8 per cell]  1 Pb 3.16, 1 Tl 3.19


(4)
SmY2ScBi4: optimized geometry, GGA-PBE.

Computed properties:
- total moment (μB per cell) = 0.0
- DOS(E_F) (states/eV/atom) = 0.168
- calculated total energy (eV per atom) = -5.77

Cell lengths 7.7089, 4.4561, 7.7167 Å; angles 90.00, 109.48, 90.00 degrees
With the nearest neighbours (Å) after each atom.
Space group P2/m (No. 10)
One atom of each set of equivalent atoms:
Sm  0.0000  0.0000  0.0000 [1 per cell]  6 Bi 3.17
Y  0.0000  0.5000  0.5000 [1 per cell]  6 Bi 3.21
Y  0.5000  0.0000  0.5000 [1 per cell]  6 Bi 3.13
Sc  0.5000  0.5000  0.0000 [1 per cell]  6 Bi 3.09
Bi  0.2583  0.5000  0.2483 [2 per cell]  1 Sc 3.09, 3 Y 3.13-3.21, 2 Sm 3.17
Bi  0.2616  0.0000  0.7582 [2 per cell]  2 Sc 3.09, 3 Y 3.13-3.21, 1 Sm 3.17


(5)
Hf3MgCd2: optimized geometry, GGA-PBE.

Computed properties:
- total moment (μB per cell) = 0.0
- DOS(E_F) (states/eV/atom) = 0.706
- calculated total energy (eV per atom) = -5.53

Cell lengths 15.8064, 3.1327, 11.1628 Å; angles 90.00, 103.65, 90.00 degrees
With the nearest neighbours (Å) after each atom.
Space group C2/m (No. 12)
One atom of each set of equivalent atoms:
Hf  0.0790  0.0000  0.4524 [4 per cell]  8 Hf 2.94-3.26, 2 Cd 3.22
Hf  0.1033  0.5000  0.6946 [4 per cell]  8 Hf 3.07-3.35, 3 Cd 3.14-3.20, 2 Mg 3.41
Hf  0.2424  0.5000  0.3835 [4 per cell]  2 Cd 2.97-3.10, 9 Hf 2.98-3.26
Mg  0.0891  0.0000  0.9607 [4 per cell]  7 Cd 2.97-3.17, 3 Mg 3.13-3.14
Cd  0.0627  0.5000  0.1963 [4 per cell]  4 Mg 3.05-3.17, 4 Hf 3.10-3.22, 3 Cd 3.13-3.19
Cd  0.2442  0.5000  0.1183 [4 per cell]  3 Hf 2.97-3.20, 3 Mg 2.97-3.09, 5 Cd 3.11-3.19


(6)
PmCdAgIr: optimized geometry, GGA-PBE.

Computed properties:
- total moment (μB per cell) = 0.0
- DOS(E_F) (states/eV/atom) = 0.439
- calculated total energy (eV per atom) = -4.58

Cell lengths 6.9386, 6.9386, 6.9386 Å; angles 90.00, 90.00, 90.00 degrees
With the nearest neighbours (Å) after each atom.
Space group F-43m (No. 216)
One atom of each set of equivalent atoms:
Pm  0.0000  0.0000  0.0000 [4 per cell]  4 Ag 3.00, 4 Ir 3.00
Cd  0.0000  0.0000  0.5000 [4 per cell]  4 Ir 3.00, 4 Ag 3.00
Ag  0.2500  0.2500  0.2500 [4 per cell]  4 Cd 3.00, 4 Pm 3.00
Ir  0.2500  0.2500  0.7500 [4 per cell]  4 Cd 3.00, 4 Pm 3.00


(7)
PmZn2Co: optimized geometry, GGA-PBE.

Computed properties:
- total moment (μB per cell) = 0.0
- DOS(E_F) (states/eV/atom) = 0.979
- ΔE to the lowest computed polymorph (meV/atom) = 116

Cell lengths 4.1502, 4.1502, 15.1754 Å; angles 90.00, 90.00, 120.00 degrees
With the nearest neighbours (Å) after each atom.
Space group R-3m (No. 166, hexagonal axes)
One atom of each set of equivalent atoms:
Pm  0.0000  0.0000  0.0000 [3 per cell]  8 Zn 3.09-3.11
Zn  0.0000  0.0000  0.2047 [6 per cell]  3 Co 2.46, 3 Zn 2.66
Co  0.0000  0.0000  0.5000 [3 per cell]  6 Zn 2.46


(8)
Mo2Ru6Pt2W: optimized geometry, GGA-PBE.

Computed properties:
- total moment (μB per cell) = 0.0
- DOS(E_F) (states/eV/atom) = 1.002
- calculated total energy (eV per atom) = -9.16

Cell lengths 13.3437, 5.0855, 4.9904 Å; angles 90.00, 99.32, 90.00 degrees
With the nearest neighbours (Å) after each atom.
Space group C2/m (No. 12)
One atom of each set of equivalent atoms:
Mo  0.1084  0.0000  0.0568 [4 per cell]  7 Ru 2.76-3.01, 2 W 2.83-2.92, 1 Mo 2.86
Ru  0.1696  0.2581  0.6024 [8 per cell]  5 Ru 2.46-2.68, 1 W 2.59
Ru  0.1896  0.5000  0.0842 [4 per cell]  4 Ru 2.60-2.68, 3 Mo 2.76-2.89, 2 Pt 2.78-2.79
Pt  0.9999  0.5000  0.2474 [4 per cell]  2 Pt 2.47-2.52
W  0.0000  0.0000  0.5000 [2 per cell]  4 Ru 2.59, 2 Mo 2.83, 4 Pt 2.84


(9)
Tb4Pr3Dy5: optimized geometry, GGA-PBE.

Computed properties:
- total moment (μB per cell) = 0.5
- DOS(E_F) (states/eV/atom) = 1.256
- ΔE to the lowest computed polymorph (meV/atom) = 259

Cell lengths 18.3171, 5.7702, 8.6597 Å; angles 90.00, 117.55, 90.00 degrees
With the nearest neighbours (Å) after each atom.
Space group C2/m (No. 12)
One atom of each set of equivalent atoms:
Tb  0.0283  0.0000  0.1904 [4 per cell]  1 Dy 2.96, 1 Tb 2.96
Tb  0.2018  0.0000  0.1571 [4 per cell]  1 Tb 3.32, 2 Pr 3.42, 3 Dy 3.47-3.69
Pr  0.0000  0.5000  0.5000 [2 per cell]  2 Dy 2.89
Pr  0.1859  0.0000  0.7102 [4 per cell]  2 Dy 3.03-3.37
Dy  0.0000  0.0000  0.5000 [2 per cell]  4 Pr 2.89-3.03, 2 Tb 2.96
Dy  0.1076  0.5000  0.9303 [4 per cell]  2 Pr 3.31-3.62, 4 Tb 3.47-3.63, 1 Dy 3.54
Dy  0.1518  0.5000  0.3742 [4 per cell]  2 Pr 3.37-3.42, 1 Dy 3.54, 3 Tb 3.56-3.69


(10)
SiBP2Au: optimized geometry, GGA-PBE.

Computed properties:
- raw formation energy (eV/atom) = -0.02
- total moment (μB per cell) = 0.0
- DOS(E_F) (states/eV/atom) = 0.063
- ΔE to the lowest computed polymorph (meV/atom) = 79

Cell lengths 3.3522, 4.5392, 5.8942 Å; angles 109.49, 103.99, 98.32 degrees
With the nearest neighbours (Å) after each atom.
Space group P1 (No. 1)
One atom of each set of equivalent atoms:
Si  0.0000  0.0000  0.0000 [1 per cell]  1 B 2.03, 2 P 2.23-2.26
B  0.8757  0.6390  0.6583 [1 per cell]  2 P 1.99, 1 Si 2.03
P  0.3236  0.3941  0.6485 [1 per cell]  2 B 1.99
P  0.5681  0.3416  0.0201 [1 per cell]  2 Si 2.23-2.26, 1 P 2.25, 1 Au 2.40
Au  0.9492  0.8452  0.3603 [1 per cell]  1 B 2.29, 2 P 2.40-2.43, 1 Si 2.48


(11)
BaMg2Cr: optimized geometry, GGA-PBE.

Computed properties:
- total moment (μB per cell) = 4.4
- DOS(E_F) (states/eV/atom) = 0.768
- ΔE to the lowest computed polymorph (meV/atom) = 59

Cell lengths 3.8184, 3.8184, 8.0570 Å; angles 90.00, 90.00, 90.00 degrees
With the nearest neighbours (Å) after each atom.
Space group P4mm (No. 99)
One atom of each set of equivalent atoms:
Ba  0.0000  0.0000  0.0000 [1 per cell]  4 Cr 3.63, 5 Mg 3.69-3.79, 4 Ba 3.82
Mg  0.0000  0.0000  0.4586 [1 per cell]  4 Cr 2.98, 4 Mg 3.19
Mg  0.5000  0.5000  0.6697 [1 per cell]  1 Cr 2.97, 4 Mg 3.19
Cr  0.5000  0.5000  0.3013 [1 per cell]  5 Mg 2.97-2.98


(12)
YHoHgPd: optimized geometry, GGA-PBE.

Computed properties:
- total moment (μB per cell) = 0.0
- DOS(E_F) (states/eV/atom) = 0.717
- ΔE to the lowest computed polymorph (meV/atom) = 0

Cell lengths 3.5782, 3.5782, 7.3637 Å; angles 90.00, 90.00, 90.00 degrees
With the nearest neighbours (Å) after each atom.
Space group P4mm (No. 99)
One atom of each set of equivalent atoms:
Y  0.0000  0.0000  0.0000 [1 per cell]  4 Pd 3.07, 4 Hg 3.23, 1 Ho 3.38
Ho  0.0000  0.0000  0.5405 [1 per cell]  4 Pd 3.01, 4 Hg 3.21
Hg  0.5000  0.5000  0.2727 [1 per cell]  4 Ho 3.21, 4 Y 3.23, 4 Hg 3.58
Pd  0.5000  0.5000  0.7628 [1 per cell]  4 Ho 3.01, 4 Y 3.07